Computed, not measured: a relaxed Li4PuSn5 crystal at the PBE-GGA level of DFT.

```
data_Li4PuSn5
_chemical_formula_sum 'Li4 Pu1 Sn5'
_space_group_name_H-M_alt 'P 4/m m m'
_space_group_IT_number 123
_space_group_name_Hall '-P 4 2'
_cell_length_a 3.343
_cell_length_b 3.343
_cell_length_c 19.287
_cell_angle_alpha 90.00
_cell_angle_beta 90.00
_cell_angle_gamma 90.00
loop_
_atom_site_label
_atom_site_type_symbol
_atom_site_fract_x
_atom_site_fract_y
_atom_site_fract_z
Li1 Li 0.000 0.000 0.095
Li2 Li 0.000 0.000 0.287
Pu1 Pu 0.000 0.000 0.500
Sn1 Sn 0.500 0.500 0.000
Sn2 Sn 0.500 0.500 0.192
Sn3 Sn 0.500 0.500 0.379
```

energy of formation: -0.324 eV per atom
size of the total moment: 5.9 μB/cell

=====

Computed, not measured: a relaxed Li3Pu2Sn4 crystal at the PBE-GGA level of DFT.

```
data_Li3Pu2Sn4
_chemical_formula_sum 'Li12 Pu8 Sn16'
_space_group_name_H-M_alt 'C m c e'
_space_group_IT_number 64
_space_group_name_Hall '-C 2ac 2'
_cell_length_a 6.274
_cell_length_b 16.117
_cell_length_c 8.102
_cell_angle_alpha 90.00
_cell_angle_beta 90.00
_cell_angle_gamma 90.00
loop_
_atom_site_label
_atom_site_type_symbol
_atom_site_fract_x
_atom_site_fract_y
_atom_site_fract_z
Li1 Li 0.000 0.000 0.000
Li2 Li 0.250 0.233 0.250
Pu1 Pu 0.000 0.102 0.597
Sn1 Sn 0.000 0.177 0.983
Sn2 Sn 0.250 0.061 0.250
```

energy of formation: -0.303 eV per atom
size of the total moment: 47.8 μB/cell

=====

Computed, not measured: a relaxed Li2PuSn3 crystal at the PBE-GGA level of DFT.

```
data_Li2PuSn3
_chemical_formula_sum 'Li4 Pu2 Sn6'
_space_group_name_H-M_alt 'P 63/m m c'
_space_group_IT_number 194
_space_group_name_Hall '-P 6c 2c'
_cell_length_a 4.9553
_cell_length_b 4.9553
_cell_length_c 13.1788
_cell_angle_alpha 90.00
_cell_angle_beta 90.00
_cell_angle_gamma 120.00
loop_
_atom_site_label
_atom_site_type_symbol
_atom_site_fract_x
_atom_site_fract_y
_atom_site_fract_z
Li1 Li 0.3333 0.6667 0.1000
Pu1 Pu 0.0000 0.0000 0.2500
Sn1 Sn 0.0000 0.0000 0.0000
Sn2 Sn 0.3333 0.6667 0.6350
```

energy of formation: -0.280 eV per atom
size of the total moment: 11.2 μB/cell

=====

Computed, not measured: a relaxed LiPuSn4 crystal at the PBE-GGA level of DFT.

```
data_LiPuSn4
_chemical_formula_sum 'Li4 Pu4 Sn16'
_space_group_name_H-M_alt 'F -4 3 m'
_space_group_IT_number 216
_space_group_name_Hall 'F -4 2 3'
_cell_length_a 8.693
_cell_length_b 8.693
_cell_length_c 8.693
_cell_angle_alpha 90.00
_cell_angle_beta 90.00
_cell_angle_gamma 90.00
loop_
_atom_site_label
_atom_site_type_symbol
_atom_site_fract_x
_atom_site_fract_y
_atom_site_fract_z
Li1 Li 0.000 0.000 0.000
Pu1 Pu 0.250 0.250 0.250
Sn1 Sn 0.125 0.125 0.625
```

energy of formation: -0.072 eV per atom
size of the total moment: 20.2 μB/cell

=====

Computed, not measured: a relaxed LiPu3Sn4 crystal at the PBE-GGA level of DFT.

```
data_LiPu3Sn4
_chemical_formula_sum 'Li2 Pu6 Sn8'
_space_group_name_H-M_alt 'I 4/m m m'
_space_group_IT_number 139
_space_group_name_Hall '-I 4 2'
_cell_length_a 4.686
_cell_length_b 4.686
_cell_length_c 18.290
_cell_angle_alpha 90.00
_cell_angle_beta 90.00
_cell_angle_gamma 90.00
loop_
_atom_site_label
_atom_site_type_symbol
_atom_site_fract_x
_atom_site_fract_y
_atom_site_fract_z
Li1 Li 0.000 0.000 0.000
Pu1 Pu 0.000 0.000 0.253
Pu2 Pu 0.000 0.000 0.500
Sn1 Sn 0.000 0.500 0.120
```

energy of formation: -0.358 eV per atom
size of the total moment: 11.9 μB/cell

=====

Computed, not measured: a relaxed LiPu2Sn crystal at the PBE-GGA level of DFT.

```
data_LiPu2Sn
_chemical_formula_sum 'Li1 Pu2 Sn1'
_space_group_name_H-M_alt 'P 4/m m m'
_space_group_IT_number 123
_space_group_name_Hall '-P 4 2'
_cell_length_a 3.589
_cell_length_b 3.589
_cell_length_c 5.337
_cell_angle_alpha 90.00
_cell_angle_beta 90.00
_cell_angle_gamma 90.00
loop_
_atom_site_label
_atom_site_type_symbol
_atom_site_fract_x
_atom_site_fract_y
_atom_site_fract_z
Li1 Li 0.000 0.000 0.000
Pu1 Pu 0.000 0.500 0.500
Sn1 Sn 0.500 0.500 0.000
```

energy of formation: 0.222 eV per atom
size of the total moment: 0.0 μB/cell

=====

Computed, not measured: a relaxed Li2PuSn4 crystal at the PBE-GGA level of DFT.

```
data_Li2PuSn4
_chemical_formula_sum 'Li4 Pu2 Sn8'
_space_group_name_H-M_alt 'I 4/m m m'
_space_group_IT_number 139
_space_group_name_Hall '-I 4 2'
_cell_length_a 6.890
_cell_length_b 6.890
_cell_length_c 7.468
_cell_angle_alpha 90.00
_cell_angle_beta 90.00
_cell_angle_gamma 90.00
loop_
_atom_site_label
_atom_site_type_symbol
_atom_site_fract_x
_atom_site_fract_y
_atom_site_fract_z
Li1 Li 0.000 0.500 0.000
Pu1 Pu 0.000 0.000 0.000
Sn1 Sn 0.250 0.250 0.250
```

energy of formation: -0.242 eV per atom
size of the total moment: 11.8 μB/cell

=====

Computed, not measured: a relaxed LiPuSnTe3 crystal at the PBE-GGA level of DFT.

```
data_LiPuSnTe3
_chemical_formula_sum 'Li2 Pu2 Sn2 Te6'
_space_group_name_H-M_alt 'P 1 21/m 1'
_space_group_IT_number 11
_cell_length_a 9.254
_cell_length_b 4.278
_cell_length_c 9.622
_cell_angle_alpha 90.00
_cell_angle_beta 102.84
_cell_angle_gamma 90.00
loop_
_space_group_symop_operation_xyz
'x,y,z'
'-x,-y,-z'
'-x,y+1/2,-z'
'x,-y+1/2,z'
loop_
_atom_site_label
_atom_site_type_symbol
_atom_site_fract_x
_atom_site_fract_y
_atom_site_fract_z
Li1 Li 0.089 0.250 0.086
Pu1 Pu 0.172 0.250 0.722
Sn1 Sn 0.339 0.750 0.332
Te1 Te 0.094 0.250 0.377
Te2 Te 0.220 0.750 0.982
Te3 Te 0.407 0.750 0.662
```

size of the total moment: 10.0 μB/cell
formation energy without anion corrections: -0.70 eV per atom